No. 1
DFT (PBEsol) results for a geometry-optimized Ba2HgPt structure.

Unit cell a=4.748 b=4.577 c=11.936 alpha=90.00 beta=90.00 gamma=90.00
Space group Amm2 (No. 38)
Unique sites:
Ba 0.000 0.000 0.000 [2 per cell]
Ba 0.500 0.000 0.280 [2 per cell]
Hg 0.000 0.000 0.706 [2 per cell]
Pt 0.500 0.000 0.569 [2 per cell]

Calculated values
* E_tot: -3.517 eV/atom
* formation energy: -560.0 meV per atom

=====

No. 2
DFT (PBEsol) results for a geometry-optimized Rb3BaHg structure.

Unit cell a=6.918 b=6.918 c=6.918 alpha=90.00 beta=90.00 gamma=90.00
Space group Pm-3m (No. 221)
Unique sites:
Rb 0.000 0.000 0.500 [3 per cell]
Ba 0.500 0.500 0.500 [1 per cell]
Hg 0.000 0.000 0.000 [1 per cell]

Calculated values
* E_tot: -1.066 eV/atom
* formation energy: 91.9 meV per atom
* relative energy among the computed polymorphs: 0.00 eV/f.u.

=====

No. 3
DFT (PBEsol) results for a geometry-optimized Rb3BaHg structure.

Unit cell a=8.591 b=8.591 c=8.591 alpha=90.00 beta=90.00 gamma=90.00
Space group Pm-3m (No. 221)
Unique sites:
Rb 0.000 0.000 0.500 [3 per cell]
Ba 0.000 0.000 0.000 [1 per cell]
Hg 0.500 0.500 0.500 [1 per cell]

Calculated values
* E_tot: -0.614 eV/atom
* formation energy: 544.2 meV per atom
* relative energy among the computed polymorphs: 2.26 eV/f.u.

=====

No. 4
DFT (PBEsol) results for a geometry-optimized Rb2BaHg2 structure.

Unit cell a=8.703 b=8.703 c=5.727 alpha=90.00 beta=90.00 gamma=90.00
Space group P4/mbm (No. 127)
Unique sites:
Rb 0.168 0.332 0.000 [4 per cell]
Ba 0.000 0.000 0.500 [2 per cell]
Hg 0.119 0.619 0.500 [4 per cell]

Calculated values
* E_tot: -1.262 eV/atom
* formation energy: -195.0 meV per atom

=====

No. 5
DFT (PBEsol) results for a geometry-optimized BaTlRe2Hg structure.

Unit cell a=5.226 b=5.226 c=5.943 alpha=90.00 beta=90.00 gamma=90.00
Space group P4/mmm (No. 123)
Unique sites:
Ba 0.000 0.000 0.000 [1 per cell]
Tl 0.500 0.500 0.500 [1 per cell]
Re 0.000 0.500 0.000 [2 per cell]
Hg 0.000 0.000 0.500 [1 per cell]

Calculated values
* E_tot: -3.570 eV/atom
* formation energy: 2832.4 meV per atom

=====

No. 6
DFT (PBEsol) results for a geometry-optimized BaHg3Rh structure.

Unit cell a=6.008 b=6.008 c=6.008 alpha=90.00 beta=90.00 gamma=90.00
Space group Pm-3m (No. 221)
Unique sites:
Ba 0.000 0.000 0.000 [1 per cell]
Hg 0.000 0.000 0.500 [3 per cell]
Rh 0.500 0.500 0.500 [1 per cell]

Calculated values
* E_tot: -1.066 eV/atom
* formation energy: 1332.1 meV per atom
* relative energy among the computed polymorphs: 8.04 eV/f.u.

=====

No. 7
DFT (PBEsol) results for a geometry-optimized BaHg3Rh structure.

Unit cell a=5.184 b=5.184 c=5.184 alpha=90.00 beta=90.00 gamma=90.00
Space group Pm-3m (No. 221)
Unique sites:
Ba 0.000 0.000 0.000 [1 per cell]
Hg 0.000 0.500 0.500 [3 per cell]
Rh 0.500 0.500 0.500 [1 per cell]

Calculated values
* E_tot: -2.674 eV/atom
* formation energy: -276.2 meV per atom
* relative energy among the computed polymorphs: 0.00 eV/f.u.

=====

No. 8
DFT (PBEsol) results for a geometry-optimized BaHg2Rh structure.

Unit cell a=7.259 b=7.259 c=7.259 alpha=90.00 beta=90.00 gamma=90.00
Space group F-43m (No. 216)
Unique sites:
Ba 0.000 0.000 0.000 [4 per cell]
Hg 0.000 0.000 0.500 [4 per cell]
Hg 0.250 0.250 0.250 [4 per cell]
Rh 0.250 0.250 0.750 [4 per cell]

Calculated values
* E_tot: -2.817 eV/atom
* formation energy: 38.7 meV per atom

=====

No. 9
DFT (PBEsol) results for a geometry-optimized Ba3HgRh structure.

Unit cell a=5.867 b=5.867 c=5.867 alpha=90.00 beta=90.00 gamma=90.00
Space group Pm-3m (No. 221)
Unique sites:
Ba 0.000 0.000 0.500 [3 per cell]
Hg 0.500 0.500 0.500 [1 per cell]
Rh 0.000 0.000 0.000 [1 per cell]

Calculated values
* E_tot: -3.183 eV/atom
* formation energy: -153.0 meV per atom

=====

No. 10
DFT (PBEsol) results for a geometry-optimized BaHg2Rh structure.

Unit cell a=4.324 b=4.324 c=5.078 alpha=90.00 beta=90.00 gamma=90.00
Space group P4/mmm (No. 123)
Unique sites:
Ba 0.000 0.000 0.000 [1 per cell]
Hg 0.000 0.500 0.500 [2 per cell]
Rh 0.500 0.500 0.000 [1 per cell]

Calculated values
* E_tot: -2.795 eV/atom
* formation energy: 60.3 meV per atom

=====

No. 11
DFT (PBEsol) results for a geometry-optimized BaHg2Rh structure.

Unit cell a=4.014 b=4.492 c=11.241 alpha=90.00 beta=90.00 gamma=90.00
Space group Amm2 (No. 38)
Unique sites:
Ba 0.000 0.000 0.000 [2 per cell]
Hg 0.000 0.000 0.715 [2 per cell]
Hg 0.500 0.000 0.308 [2 per cell]
Rh 0.500 0.000 0.553 [2 per cell]

Calculated values
* E_tot: -2.965 eV/atom
* formation energy: -109.4 meV per atom

=====

No. 12
DFT (PBEsol) results for a geometry-optimized BaHg3Ru structure.

Unit cell a=5.992 b=5.992 c=5.992 alpha=90.00 beta=90.00 gamma=90.00
Space group Pm-3m (No. 221)
Unique sites:
Ba 0.000 0.000 0.000 [1 per cell]
Hg 0.000 0.000 0.500 [3 per cell]
Ru 0.500 0.500 0.500 [1 per cell]

Calculated values
* E_tot: -1.232 eV/atom
* formation energy: 1572.6 meV per atom

=====

No. 13
DFT (PBEsol) results for a geometry-optimized BaHg2RuS structure.

Unit cell a=6.096 b=6.096 c=5.108 alpha=90.00 beta=90.00 gamma=90.00
Space group P4/mmm (No. 123)
Unique sites:
Ba 0.000 0.000 0.000 [1 per cell]
Hg 0.000 0.500 0.000 [2 per cell]
Ru 0.000 0.000 0.500 [1 per cell]
S 0.500 0.500 0.500 [1 per cell]

Calculated values
* E_tot: -2.054 eV/atom
* ΔE_f (raw): 1.5140 eV/atom

=====

No. 14
DFT (PBEsol) results for a geometry-optimized Ba2HgTeRu structure.

Unit cell a=5.627 b=5.627 c=5.128 alpha=90.00 beta=90.00 gamma=90.00
Space group P4/mmm (No. 123)
Unique sites:
Ba 0.000 0.500 0.000 [2 per cell]
Hg 0.000 0.000 0.500 [1 per cell]
Te 0.500 0.500 0.500 [1 per cell]
Ru 0.000 0.000 0.000 [1 per cell]

Calculated values
* E_tot: -4.040 eV/atom
* ΔE_f (raw): -0.3278 eV/atom

=====

No. 15
DFT (PBEsol) results for a geometry-optimized Ba2ZnHgRu structure.

Unit cell a=5.944 b=5.944 c=4.763 alpha=90.00 beta=90.00 gamma=90.00
Space group P4/mmm (No. 123)
Unique sites:
Ba 0.000 0.500 0.000 [2 per cell]
Zn 0.000 0.000 0.000 [1 per cell]
Hg 0.000 0.000 0.500 [1 per cell]
Ru 0.500 0.500 0.500 [1 per cell]

Calculated values
* E_tot: -2.537 eV/atom
* formation energy: 786.8 meV per atom

=====

No. 16
DFT (PBEsol) results for a geometry-optimized BaHgS2 structure.

Unit cell a=4.8680 b=4.8680 c=22.3157 alpha=90.00 beta=90.00 gamma=120.00
Space group R-3m (No. 166, hexagonal axes)
Unique sites:
Ba 0.0000 0.0000 0.0000 [3 per cell]
Hg 0.0000 0.0000 0.5000 [3 per cell]
S 0.0000 0.0000 0.3969 [6 per cell]

Calculated values
* E_tot: -3.960 eV/atom
* ΔE_f (raw): -1.0892 eV/atom

=====

No. 17
DFT (PBEsol) results for a geometry-optimized BaHgSb2 structure.

Unit cell a=7.830 b=7.830 c=7.830 alpha=90.00 beta=90.00 gamma=90.00
Space group F-43m (No. 216)
Unique sites:
Ba 0.000 0.000 0.000 [4 per cell]
Hg 0.250 0.250 0.250 [4 per cell]
Sb 0.000 0.000 0.500 [4 per cell]
Sb 0.250 0.250 0.750 [4 per cell]

Calculated values
* E_tot: -3.321 eV/atom
* ΔE_f (raw): -0.3632 eV/atom

=====

No. 18
DFT (PBEsol) results for a geometry-optimized BaHgSb2 structure.

Unit cell a=6.739 b=10.114 c=3.485 alpha=90.00 beta=90.00 gamma=90.00
Space group Cmmm (No. 65)
Unique sites:
Ba 0.000 0.000 0.000 [2 per cell]
Hg 0.000 0.500 0.000 [2 per cell]
Sb 0.250 0.250 0.500 [4 per cell]

Calculated values
* E_tot: -3.299 eV/atom
* ΔE_f (raw): -0.3414 eV/atom

=====

No. 19
DFT (PBEsol) results for a geometry-optimized BaHgSb2 structure.

Unit cell a=5.1517 b=5.1517 c=16.7534 alpha=90.00 beta=90.00 gamma=120.00
Space group R3m (No. 160, hexagonal axes)
Unique sites:
Ba 0.0000 0.0000 0.0000 [3 per cell]
Hg 0.0000 0.0000 0.2346 [3 per cell]
Sb 0.0000 0.0000 0.4959 [3 per cell]
Sb 0.0000 0.0000 0.7898 [3 per cell]

Calculated values
* E_tot: -3.456 eV/atom
* ΔE_f (raw): -0.4987 eV/atom

=====

No. 20
DFT (PBEsol) results for a geometry-optimized BaHg2Sb structure.

Unit cell a=6.804 b=11.686 c=3.363 alpha=90.00 beta=117.97 gamma=90.00
Space group C2/m (No. 12)
Unique sites:
Ba 0.000 0.000 0.000 [2 per cell]
Hg 0.250 0.250 0.500 [4 per cell]
Sb 0.000 0.500 0.000 [2 per cell]

Calculated values
* E_tot: -2.244 eV/atom
* ΔE_f (raw): -0.2842 eV/atom

=====

No. 21
DFT (PBEsol) results for a geometry-optimized BaHgSb2 structure.

Unit cell a=4.667 b=4.489 c=5.953 alpha=90.00 beta=92.51 gamma=90.00
Space group Pm (No. 6)
Unique sites:
Ba 0.000 0.000 0.000 [1 per cell]
Hg 0.515 0.500 0.150 [1 per cell]
Sb 0.033 0.500 0.518 [1 per cell]
Sb 0.463 0.000 0.532 [1 per cell]

Calculated values
* E_tot: -3.483 eV/atom
* ΔE_f (raw): -0.5254 eV/atom

=====

No. 22
DFT (PBEsol) results for a geometry-optimized BaHg2Sb structure.

Unit cell a=4.857 b=5.400 c=5.042 alpha=90.00 beta=91.50 gamma=90.00
Space group P2/m (No. 10)
Unique sites:
Ba 0.000 0.000 0.000 [1 per cell]
Hg 0.328 0.500 0.740 [2 per cell]
Sb 0.500 0.000 0.500 [1 per cell]

Calculated values
* E_tot: -2.385 eV/atom
* ΔE_f (raw): -0.4253 eV/atom

=====

No. 23
DFT (PBEsol) results for a geometry-optimized BaHg2Sb structure.

Unit cell a=4.8265 b=4.8265 c=18.2319 alpha=90.00 beta=90.00 gamma=120.00
Space group R3m (No. 160, hexagonal axes)
Unique sites:
Ba 0.0000 0.0000 0.0000 [3 per cell]
Hg 0.0000 0.0000 0.4968 [3 per cell]
Hg 0.0000 0.0000 0.7647 [3 per cell]
Sb 0.0000 0.0000 0.2186 [3 per cell]

Calculated values
* E_tot: -2.440 eV/atom
* ΔE_f (raw): -0.4803 eV/atom

=====

No. 24
DFT (PBEsol) results for a geometry-optimized BaHgSb2 structure.

Unit cell a=4.712 b=4.712 c=5.320 alpha=90.00 beta=90.00 gamma=90.00
Space group P4/mmm (No. 123)
Unique sites:
Ba 0.000 0.000 0.000 [1 per cell]
Hg 0.500 0.500 0.000 [1 per cell]
Sb 0.000 0.500 0.500 [2 per cell]

Calculated values
* E_tot: -3.444 eV/atom
* ΔE_f (raw): -0.4867 eV/atom

=====

No. 25
DFT (PBEsol) results for a geometry-optimized BaHgSb2 structure.

Unit cell a=4.418 b=5.500 c=10.265 alpha=90.00 beta=90.00 gamma=90.00
Space group Imm2 (No. 44)
Unique sites:
Ba 0.000 0.000 0.000 [2 per cell]
Hg 0.000 0.500 0.787 [2 per cell]
Sb 0.000 0.000 0.537 [2 per cell]
Sb 0.000 0.500 0.223 [2 per cell]

Calculated values
* E_tot: -3.436 eV/atom
* ΔE_f (raw): -0.4787 eV/atom

=====

No. 26
DFT (PBEsol) results for a geometry-optimized BaHg2Sb structure.

Unit cell a=5.051 b=5.051 c=9.085 alpha=90.00 beta=90.00 gamma=90.00
Space group I4/mmm (No. 139)
Unique sites:
Ba 0.000 0.000 0.000 [2 per cell]
Hg 0.000 0.500 0.250 [4 per cell]
Sb 0.000 0.000 0.500 [2 per cell]

Calculated values
* E_tot: -2.473 eV/atom
* ΔE_f (raw): -0.5128 eV/atom

=====

No. 27
DFT (PBEsol) results for a geometry-optimized BaHgSb2 structure.

Unit cell a=11.987 b=4.559 c=4.870 alpha=90.00 beta=111.84 gamma=90.00
Space group C2/m (No. 12)
Unique sites:
Ba 0.000 0.000 0.000 [2 per cell]
Hg 0.000 0.500 0.500 [2 per cell]
Sb 0.244 0.000 0.693 [4 per cell]

Calculated values
* E_tot: -3.464 eV/atom
* ΔE_f (raw): -0.5062 eV/atom

=====

No. 28
DFT (PBEsol) results for a geometry-optimized BaHgSb2 structure.

Unit cell a=7.819 b=7.819 c=7.819 alpha=90.00 beta=90.00 gamma=90.00
Space group Fm-3m (No. 225)
Unique sites:
Ba 0.000 0.000 0.000 [4 per cell]
Hg 0.000 0.000 0.500 [4 per cell]
Sb 0.250 0.250 0.250 [8 per cell]

Calculated values
* E_tot: -3.153 eV/atom
* ΔE_f (raw): -0.1959 eV/atom

=====

No. 29
DFT (PBEsol) results for a geometry-optimized BaHg2Sb structure.

Unit cell a=7.818 b=7.818 c=7.818 alpha=90.00 beta=90.00 gamma=90.00
Space group F-43m (No. 216)
Unique sites:
Ba 0.000 0.000 0.000 [4 per cell]
Hg 0.000 0.000 0.500 [4 per cell]
Hg 0.250 0.250 0.750 [4 per cell]
Sb 0.250 0.250 0.250 [4 per cell]

Calculated values
* E_tot: -2.399 eV/atom
* ΔE_f (raw): -0.4392 eV/atom

=====

No. 30
DFT (PBEsol) results for a geometry-optimized BaHgSb2 structure.

Unit cell a=3.538 b=5.442 c=6.658 alpha=90.00 beta=90.00 gamma=90.00
Space group Pmmm (No. 47)
Unique sites:
Ba 0.000 0.000 0.000 [1 per cell]
Hg 0.000 0.000 0.500 [1 per cell]
Sb 0.500 0.500 0.217 [2 per cell]

Calculated values
* E_tot: -3.294 eV/atom
* ΔE_f (raw): -0.3366 eV/atom